Record 1
The following is a GGA-PBE calculation of crystalline La4Be at its relaxed geometry, from the Alexandria database.

```
5
Lattice="5.613 0.000 0.000 0.000 5.613 0.000 0.000 0.000 5.613" Properties=species:S:1:pos:R:3 pbc="T T T"
La 0.000 0.000 0.000
La 0.000 2.806 2.806
La 2.806 0.000 2.806
La 2.806 2.806 0.000
Be 2.806 2.806 2.806
```

Properties
* symmetry: Pm-3m, No. 221
* DOS(E_F): 6.54 states/eV per cell
* formation energy: 0.276 eV per atom
* crystal system: cubic
* polymorph energy (0 for the lowest one): 0 meV per atom
* E: -4.411 eV/atom

=====

Record 2
The following is a GGA-PBE calculation of crystalline LaBe3 at its relaxed geometry, from the Alexandria database.

```
4
Lattice="5.728 0.000 0.000 0.000 5.728 0.000 0.000 0.000 5.728" Properties=species:S:1:pos:R:3 pbc="T T T"
La 0.000 0.000 0.000
Be 0.000 0.000 2.864
Be 0.000 2.864 0.000
Be 2.864 0.000 0.000
```

Properties
* symmetry: Pm-3m, No. 221
* DOS(E_F): 3.59 states/eV per cell
* formation energy: 2.411 eV per atom
* crystal system: cubic
* polymorph energy (0 for the lowest one): 2422 meV per atom
* E: -1.616 eV/atom

=====

Record 3
The following is a GGA-PBE calculation of crystalline La2Be at its relaxed geometry, from the Alexandria database.

```
3
Lattice="0.000 3.531 3.531 3.531 0.000 3.531 3.531 3.531 0.000" Properties=species:S:1:pos:R:3 pbc="T T T"
La 1.765 1.765 1.765
La 5.296 5.296 5.296
Be 0.000 0.000 0.000
```

Properties
* symmetry: Fm-3m, No. 225
* DOS(E_F): 4.12 states/eV per cell
* formation energy: 0.281 eV per atom
* crystal system: cubic
* polymorph energy (0 for the lowest one): 141 meV per atom
* E: -4.246 eV/atom

=====

Record 4
The following is a GGA-PBE calculation of crystalline La2Be at its relaxed geometry, from the Alexandria database.

```
6
Lattice="-4.040 4.040 2.374 4.040 -4.040 2.374 4.040 4.040 -2.374" Properties=species:S:1:pos:R:3 pbc="T T T"
La 5.313 1.272 0.000
La 1.272 2.768 0.000
La 2.768 1.272 2.374
La -1.272 2.768 2.374
Be 0.000 0.000 1.187
Be 0.000 0.000 3.561
```

Properties
* symmetry: I4/mcm, No. 140
* DOS(E_F): 6.02 states/eV per cell
* formation energy: 0.176 eV per atom
* crystal system: tetragonal
* polymorph energy (0 for the lowest one): 36 meV per atom
* E: -4.351 eV/atom

=====

Record 5
The following is a GGA-PBE calculation of crystalline LaBe3 at its relaxed geometry, from the Alexandria database.

```
4
Lattice="1.855 1.071 5.269 -1.855 1.071 5.269 0.000 -2.141 5.269" Properties=species:S:1:pos:R:3 pbc="T T T"
La 0.000 0.000 0.000
Be 0.000 0.000 2.922
Be 0.000 0.000 7.903
Be 0.000 0.000 12.884
```

Properties
* symmetry: R-3m, No. 166
* DOS(E_F): 1.93 states/eV per cell
* formation energy: -0.011 eV per atom
* crystal system: trigonal
* polymorph energy (0 for the lowest one): 0 meV per atom
* E: -4.038 eV/atom

=====

Record 6
The following is a GGA-PBE calculation of crystalline La3Be at its relaxed geometry, from the Alexandria database.

```
4
Lattice="0.000 3.813 3.813 3.813 0.000 3.813 3.813 3.813 0.000" Properties=species:S:1:pos:R:3 pbc="T T T"
La 0.000 0.000 0.000
La 1.906 1.906 1.906
La 5.719 5.719 5.719
Be 3.813 3.813 3.813
```

Properties
* symmetry: Fm-3m, No. 225
* DOS(E_F): 7.21 states/eV per cell
* formation energy: 0.344 eV per atom
* crystal system: cubic
* polymorph energy (0 for the lowest one): 231 meV per atom
* E: -4.283 eV/atom

=====

Record 7
The following is a GGA-PBE calculation of crystalline LaBe3 at its relaxed geometry, from the Alexandria database.

```
8
Lattice="3.677 0.000 0.000 0.000 5.976 0.000 0.000 0.000 5.673" Properties=species:S:1:pos:R:3 pbc="T T T"
La 0.919 1.494 0.608
La 2.758 4.482 5.065
Be 0.919 0.379 3.322
Be 0.919 2.609 3.322
Be 0.919 4.482 2.213
Be 2.758 1.494 3.460
Be 2.758 3.367 2.350
Be 2.758 5.597 2.350
```

Properties
* symmetry: Pmmn, No. 59
* DOS(E_F): 3.77 states/eV per cell
* formation energy: -0.003 eV per atom
* crystal system: orthorhombic
* polymorph energy (0 for the lowest one): 8 meV per atom
* E: -4.030 eV/atom

=====

Record 8
The following is a GGA-PBE calculation of crystalline LaBe2 at its relaxed geometry, from the Alexandria database.

```
6
Lattice="2.939 0.000 0.000 0.000 7.047 0.000 0.000 0.000 5.448" Properties=species:S:1:pos:R:3 pbc="T T T"
La 0.000 0.000 0.000
La 1.469 3.524 2.724
Be 0.715 2.738 0.000
Be 0.755 6.261 2.724
Be 2.184 0.786 2.724
Be 2.224 4.309 0.000
```

Properties
* symmetry: Pnnm, No. 58
* DOS(E_F): 2.98 states/eV per cell
* formation energy: 0.627 eV per atom
* crystal system: orthorhombic
* polymorph energy (0 for the lowest one): 552 meV per atom
* E: -3.499 eV/atom

=====

Record 9
The following is a GGA-PBE calculation of crystalline LaBe3 at its relaxed geometry, from the Alexandria database.

```
4
Lattice="4.455 0.000 0.000 0.000 4.455 0.000 0.000 0.000 3.491" Properties=species:S:1:pos:R:3 pbc="T T T"
La 0.000 0.000 0.000
Be 0.000 2.227 1.746
Be 2.227 0.000 1.746
Be 2.227 2.227 0.000
```

Properties
* symmetry: P4/mmm, No. 123
* DOS(E_F): 2.43 states/eV per cell
* formation energy: 0.780 eV per atom
* crystal system: tetragonal
* polymorph energy (0 for the lowest one): 791 meV per atom
* E: -3.246 eV/atom

=====

Record 10
The following is a GGA-PBE calculation of crystalline La3Be at its relaxed geometry, from the Alexandria database.

```
4
Lattice="4.890 0.000 0.000 0.000 4.890 0.000 0.000 0.000 4.890" Properties=species:S:1:pos:R:3 pbc="T T T"
La 0.000 0.000 2.445
La 0.000 2.445 0.000
La 2.445 0.000 0.000
Be 2.445 2.445 2.445
```

Properties
* symmetry: Pm-3m, No. 221
* DOS(E_F): 6.48 states/eV per cell
* formation energy: 0.262 eV per atom
* crystal system: cubic
* polymorph energy (0 for the lowest one): 149 meV per atom
* E: -4.366 eV/atom

=====

Record 11
The following is a GGA-PBE calculation of crystalline La3Be at its relaxed geometry, from the Alexandria database.

```
4
Lattice="-1.894 2.717 5.841 1.894 -2.717 5.841 1.894 2.717 -5.841" Properties=species:S:1:pos:R:3 pbc="T T T"
La 0.000 0.000 0.000
La 1.894 0.000 3.459
La 0.000 2.717 2.383
Be 0.000 0.000 5.841
```

Properties
* symmetry: Immm, No. 71
* DOS(E_F): 4.78 states/eV per cell
* formation energy: 0.156 eV per atom
* crystal system: orthorhombic
* polymorph energy (0 for the lowest one): 43 meV per atom
* E: -4.472 eV/atom

=====

Record 12
The following is a GGA-PBE calculation of crystalline La3Be at its relaxed geometry, from the Alexandria database.

```
4
Lattice="5.608 0.000 0.000 0.000 5.608 0.000 0.000 0.000 3.719" Properties=species:S:1:pos:R:3 pbc="T T T"
La 0.000 0.000 0.000
La 0.000 2.804 1.859
La 2.804 0.000 1.859
Be 2.804 2.804 0.000
```

Properties
* symmetry: P4/mmm, No. 123
* DOS(E_F): 5.54 states/eV per cell
* formation energy: 0.314 eV per atom
* crystal system: tetragonal
* polymorph energy (0 for the lowest one): 202 meV per atom
* E: -4.313 eV/atom

=====

Record 13
The following is a GGA-PBE calculation of crystalline LaBe2 at its relaxed geometry, from the Alexandria database.

```
6
Lattice="5.171 -1.892 0.000 5.171 1.892 0.000 -4.502 0.000 5.398" Properties=species:S:1:pos:R:3 pbc="T T T"
La -0.759 0.000 1.891
La 6.599 0.000 3.507
Be 2.231 0.000 0.633
Be -0.437 0.000 4.992
Be 6.278 0.000 0.407
Be 3.610 0.000 4.765
```

Properties
* symmetry: C2/m, No. 12
* DOS(E_F): 3.53 states/eV per cell
* formation energy: 0.102 eV per atom
* crystal system: monoclinic
* polymorph energy (0 for the lowest one): 26 meV per atom
* E: -4.025 eV/atom

=====

Record 14
The following is a GGA-PBE calculation of crystalline La3Be2 at its relaxed geometry, from the Alexandria database.

```
5
Lattice="1.872 1.081 11.720 -1.872 1.081 11.720 0.000 -2.161 11.720" Properties=species:S:1:pos:R:3 pbc="T T T"
La 0.000 0.000 0.000
La 0.000 0.000 7.584
La 0.000 0.000 27.577
Be 0.000 0.000 13.853
Be 0.000 0.000 21.307
```

Properties
* symmetry: R-3m, No. 166
* DOS(E_F): 8.51 states/eV per cell
* formation energy: 0.428 eV per atom
* crystal system: trigonal
* polymorph energy (0 for the lowest one): 185 meV per atom
* E: -4.019 eV/atom